{"formula": "HfNbTcW", "functional": "PBE-GGA", "state": "relaxed", "spacegroup": "F-43m, No. 216", "total_energy_ev_per_atom": -11.00, "dos_at_fermi_per_ev_cell": 3.11, "total_magnetization_mub_per_cell": 0.00, "lattice": [[0.0000, 3.2557, 3.2557], [3.2557, 0.0000, 3.2557], [3.2557, 3.2557, 0.0000]], "species": ["Hf", "Nb", "Tc", "W"], "frac_coords": [[0.0000, 0.0000, 0.0000], [0.5000, 0.5000, 0.5000], [0.2500, 0.2500, 0.2500], [0.7500, 0.7500, 0.7500]]}